Crystalline LiZrGe2 at its relaxed geometry, computed with PBE.

For the formation energy, the calculation gives -0.200 eV/atom.

The structure belongs to space group I-42d (No. 122); the cell edges are 7.026, 7.026 and 5.794 Å and the angles 90.00°, 90.00° and 90.00°. Symmetry generates all atoms from Li at (0.000, 0.000, 0.000), Zr at (0.000, 0.000, 0.500) and Ge at (0.213, 0.750, 0.125).